Record 1
This record from Alexandria describes a relaxed structure of LiFe2Cu. The functional is GGA-PBE.

POSCAR file:
```
LiFe2Cu
1.0
-0.9242 -1.2820 -4.0658
3.7757 -0.1321 -2.1807
-1.1036 -1.7701 3.8311
Cu Fe Li
1 2 1
direct
0.7500 0.2500 0.5000
0.0000 0.0000 0.0000
0.2500 0.7500 0.5000
0.5000 0.5000 0.0000
```

Computed properties:
Symmetry: I-4m2
ΔH_f (0 K), eV/atom: 0.24



Record 2
This record from Alexandria describes a relaxed structure of LiFe2Cu. The functional is GGA-PBE.

POSCAR file:
```
LiFe2Cu
1.0
-7.0547 4.8610 -1.6581
-8.2156 2.8328 -0.7918
-7.3914 4.5699 0.7943
Cu Fe Li
1 2 1
direct
0.7474 0.7474 0.7474
0.9975 0.9975 0.9975
0.2549 0.2549 0.2549
0.5002 0.5002 0.5002
```

Computed properties:
Symmetry: R3m
ΔH_f (0 K), eV/atom: 0.19



Record 3
This record from Alexandria describes a relaxed structure of LiFe2Cu. The functional is GGA-PBE.

POSCAR file:
```
LiFe2Cu
1.0
-1.6610 0.9100 -4.6171
-3.2375 -3.0512 -2.2611
1.0535 3.0292 3.8234
Cu Fe Li
1 2 1
direct
0.7500 0.2500 0.5000
0.9942 0.9942 0.0000
0.5058 0.5058 0.0000
0.2500 0.7500 0.5000
```

Computed properties:
Symmetry: Immm
ΔH_f (0 K), eV/atom: 0.18



Record 4
This record from Alexandria describes a relaxed structure of LiFe2Cu. The functional is GGA-PBE.

POSCAR file:
```
LiFe2Cu
1.0
-3.1506 2.0840 -0.4230
-0.5532 -1.4770 -3.1560
-1.8947 -2.5544 1.5276
Cu Fe Li
1 2 1
direct
0.5000 0.0000 0.5000
0.0000 0.0000 0.0000
0.0000 0.5000 0.5000
0.5000 0.5000 0.0000
```

Computed properties:
Symmetry: P4/mmm
ΔH_f (0 K), eV/atom: 0.21



Record 5
This record from Alexandria describes a relaxed structure of LiFe2Cu. The functional is GGA-PBE.

POSCAR file:
```
LiFe2Cu
1.0
6.6364 0.0000 0.0000
0.0000 6.6364 0.0000
3.3182 3.3182 2.3803
Fe Cu Li
4 2 2
direct
0.6327 0.1250 0.2500
0.1173 0.6250 0.2500
0.3750 0.3673 0.7500
0.8750 0.8827 0.7500
0.0000 0.0000 0.0000
0.7500 0.2500 0.5000
0.5000 0.5000 0.0000
0.2500 0.7500 0.5000
```

Computed properties:
Symmetry: I-42d
ΔH_f (0 K), eV/atom: 0.57



Record 6
This record from Alexandria describes a relaxed structure of LiFe2Cu. The functional is GGA-PBE.

POSCAR file:
```
LiFe2Cu
1.0
-3.1152 -1.4912 1.2894
-0.3885 -1.0948 -2.2047
2.2758 -5.3327 -0.6689
Cu Fe Li
1 2 1
direct
0.5000 0.7574 0.7461
0.0000 0.9922 0.0065
0.5000 0.2563 0.2397
0.0000 0.4941 0.5077
```

Computed properties:
Symmetry: Pm
ΔH_f (0 K), eV/atom: 0.16



Record 7
This record from Alexandria describes a relaxed structure of Li3FeCu. The functional is GGA-PBE.

POSCAR file:
```
Li3FeCu
1.0
4.4670 0.0000 0.0000
0.0000 4.4670 0.0000
0.0000 0.0000 4.4670
Fe Cu Li
1 1 3
direct
0.5000 0.5000 0.5000
0.0000 0.0000 0.0000
0.0000 0.5000 0.0000
0.0000 0.0000 0.5000
0.5000 0.0000 0.0000
```

Computed properties:
Symmetry: Pm-3m
ΔH_f (0 K), eV/atom: 0.70
ΔE to the lowest computed polymorph, meV per atom: 0



Record 8
This record from Alexandria describes a relaxed structure of LiFe2Cu. The functional is GGA-PBE.

POSCAR file:
```
LiFe2Cu
1.0
2.6734 0.0000 0.0000
0.0000 4.0444 0.0000
0.0000 0.0000 4.3289
Cu Fe Li
1 2 1
direct
0.0000 0.5000 0.5000
0.0000 0.0000 0.0000
0.5000 0.5000 0.0000
0.5000 0.0000 0.5000
```

Computed properties:
Symmetry: Pmmm
ΔH_f (0 K), eV/atom: 0.18



Record 9
This record from Alexandria describes a relaxed structure of LiFe2Cu. The functional is GGA-PBE.

POSCAR file:
```
LiFe2Cu
1.0
8.9539 -0.0044 -0.0025
8.6010 2.4891 -0.0025
8.6010 1.2174 2.1711
Cu Fe Li
1 2 1
direct
0.7500 0.7500 0.7500
0.0026 0.0026 0.0026
0.4974 0.4974 0.4974
0.2500 0.2500 0.2500
```

Computed properties:
Symmetry: R-3m
ΔH_f (0 K), eV/atom: 0.19



Number 1: total DFT energy (no corrections) -0.20174 hartree per atom, volume 47 Å³/f.u., total moment 4.8 Bohr magnetons per cell. Number 2: total DFT energy (no corrections) -0.20367 hartree per atom, volume 46 Å³/f.u., total moment 2.0 Bohr magnetons per cell. Number 3: total DFT energy (no corrections) -0.20410 hartree per atom, volume 48 Å³/f.u., total moment 4.7 Bohr magnetons per cell. Number 4: total DFT energy (no corrections) -0.20308 hartree per atom, volume 47 Å³/f.u., total moment 5.0 Bohr magnetons per cell. Number 5: total DFT energy (no corrections) -0.18961 hartree per atom, volume 52 Å³/f.u., total moment 10.9 Bohr magnetons per cell. Number 6: total DFT energy (no corrections) -0.20467 hartree per atom, volume 48 Å³/f.u., total moment 5.0 Bohr magnetons per cell. Number 7: total DFT energy (no corrections) -0.10866 hartree per atom, volume 89 Å³/f.u., total moment 2.7 Bohr magnetons per cell. Number 8: total DFT energy (no corrections) -0.20411 hartree per atom, volume 47 Å³/f.u., total moment 4.4 Bohr magnetons per cell. Number 9: total DFT energy (no corrections) -0.20371 hartree per atom, volume 49 Å³/f.u., total moment 4.6 Bohr magnetons per cell.